## La2PmCdC (PBE-GGA)

Data for an optimized crystal structure of La2PmCdC.

total DFT energy (no corrections)	-5.120	eV per atom
energy relative to the elements	-0.1707	eV per atom

a b c (Å): 5.238 5.238 5.102
angles (deg): 90.00 90.00 90.00
Space group P4/mmm (No. 123)
Asymmetric unit:
La: 0.000 0.500 0.000 [2 per cell]
Pm: 0.000 0.000 0.500 [1 per cell]
Cd: 0.500 0.500 0.500 [1 per cell]
C: 0.000 0.000 0.000 [1 per cell]


## La2PrCdC (PBE-GGA)

Data for an optimized crystal structure of La2PrCdC.

total DFT energy (no corrections)	-5.108	eV per atom
energy relative to the elements	-0.1529	eV per atom

a b c (Å): 5.223 5.223 5.216
angles (deg): 90.00 90.00 90.00
Space group P4/mmm (No. 123)
Asymmetric unit:
La: 0.000 0.500 0.000 [2 per cell]
Pr: 0.000 0.000 0.500 [1 per cell]
Cd: 0.500 0.500 0.500 [1 per cell]
C: 0.000 0.000 0.000 [1 per cell]


## LaPr2CdC (PBE-GGA)

Data for an optimized crystal structure of LaPr2CdC.

total DFT energy (no corrections)	-5.061	eV per atom
energy relative to the elements	-0.1357	eV per atom

a b c (Å): 5.196 5.196 5.206
angles (deg): 90.00 90.00 90.00
Space group P4/mmm (No. 123)
Asymmetric unit:
La: 0.000 0.000 0.000 [1 per cell]
Pr: 0.000 0.500 0.500 [2 per cell]
Cd: 0.500 0.500 0.000 [1 per cell]
C: 0.000 0.000 0.500 [1 per cell]


## RbLaCd2C (PBE-GGA)

Data for an optimized crystal structure of RbLaCd2C.

total DFT energy (no corrections)	-1.507	eV per atom
energy relative to the elements	1.8826	eV per atom

a b c (Å): 6.174 6.174 8.306
angles (deg): 90.00 90.00 90.00
Space group P4/mmm (No. 123)
Asymmetric unit:
Rb: 0.000 0.000 0.000 [1 per cell]
La: 0.000 0.000 0.500 [1 per cell]
Cd: 0.000 0.500 0.500 [2 per cell]
C: 0.500 0.500 0.000 [1 per cell]


## La2ScCdC (PBE-GGA)

Data for an optimized crystal structure of La2ScCdC.

total DFT energy (no corrections)	-5.518	eV per atom
energy relative to the elements	-0.2528	eV per atom

a b c (Å): 5.357 5.357 4.499
angles (deg): 90.00 90.00 90.00
Space group P4/mmm (No. 123)
Asymmetric unit:
La: 0.000 0.500 0.000 [2 per cell]
Sc: 0.000 0.000 0.500 [1 per cell]
Cd: 0.500 0.500 0.500 [1 per cell]
C: 0.000 0.000 0.000 [1 per cell]


## LaSc2CdC (PBE-GGA)

Data for an optimized crystal structure of LaSc2CdC.

total DFT energy (no corrections)	-5.836	eV per atom
energy relative to the elements	-0.2899	eV per atom

a b c (Å): 4.636 4.636 5.228
angles (deg): 90.00 90.00 90.00
Space group P4/mmm (No. 123)
Asymmetric unit:
La: 0.000 0.000 0.000 [1 per cell]
Sc: 0.000 0.500 0.500 [2 per cell]
Cd: 0.500 0.500 0.000 [1 per cell]
C: 0.000 0.000 0.500 [1 per cell]